SrSb2TeH | PBE-GGA | optimized geometry

a b c (Å): 4.575 4.575 6.187
angles (deg): 90.00 90.00 90.00
Space group P4/mmm (No. 123)
Asymmetric unit:
1 Sr 0.000 0.000 0.000
2 Sb 0.000 0.500 0.500
3 Te 0.500 0.500 0.000
4 H 0.500 0.500 0.500

Results
- Crystal system: tetragonal
- ΔE to the lowest computed polymorph: 0.0 meV per atom
- Final energy: -3.486 eV/atom